Eu2CdRh, optimized geometry, DFT PBE; space group = R-3m, No. 166; energy above the lowest structure with this stoichiometry = 12.2 kJ/mol of atoms; formation enthalpy at 0 K = -0.234 eV per atom
1.0
4.045 0.000 0.000
-2.022 3.503 0.000
0.000 0.000 25.181
Eu Cd Rh
6 3 3
Direct
0.000 0.000 0.232 Eu
0.000 0.000 0.768 Eu
0.333 0.667 0.435 Eu
0.333 0.667 0.899 Eu
0.667 0.333 0.101 Eu
0.667 0.333 0.565 Eu
0.000 0.000 0.000 Cd
0.333 0.667 0.667 Cd
0.667 0.333 0.333 Cd
0.000 0.000 0.500 Rh
0.333 0.667 0.167 Rh
0.667 0.333 0.833 Rh


YFeH2Au, optimized geometry, DFT PBE; space group = P4/mmm, No. 123
1.0
3.940 0.000 0.000
0.000 3.940 0.000
0.000 0.000 5.210
Y Fe H Au
1 1 2 1
Direct
0.000 0.000 0.000 Y
0.000 0.000 0.500 Fe
0.000 0.500 0.500 H
0.500 0.000 0.500 H
0.500 0.500 0.000 Au


BaCuSn2, optimized geometry, DFT PBE; space group = R-3m, No. 166; formation enthalpy at 0 K = -0.370 eV per atom
1.0
4.503 0.000 0.000
-2.252 3.900 0.000
0.000 0.000 19.681
Ba Cu Sn
3 3 6
Direct
0.000 0.000 0.000 Ba
0.333 0.667 0.667 Ba
0.667 0.333 0.333 Ba
0.000 0.000 0.500 Cu
0.333 0.667 0.167 Cu
0.667 0.333 0.833 Cu
0.000 0.000 0.213 Sn
0.000 0.000 0.787 Sn
0.333 0.667 0.454 Sn
0.333 0.667 0.880 Sn
0.667 0.333 0.120 Sn
0.667 0.333 0.546 Sn


CaErRh, optimized geometry, DFT PBE; space group = C2/m, No. 12; energy above the lowest structure with this stoichiometry = 19.8 kJ/mol of atoms; formation enthalpy at 0 K = -0.306 eV per atom
1.0
10.594 -1.864 0.000
10.594 1.864 0.000
-1.855 0.000 9.081
Ca Er Rh
4 4 4
Direct
0.027 0.027 0.205 Ca
0.403 0.403 0.411 Ca
0.597 0.597 0.589 Ca
0.973 0.973 0.795 Ca
0.153 0.153 0.955 Er
0.203 0.203 0.361 Er
0.797 0.797 0.639 Er
0.847 0.847 0.045 Er
0.202 0.202 0.654 Rh
0.272 0.272 0.127 Rh
0.728 0.728 0.873 Rh
0.798 0.798 0.346 Rh


Number 1: total energy -0.27334 Ha/atom, magnetic moment 3.505 μB per atom. Number 2: total energy -0.16680 Ha/atom, magnetic moment 0.390 μB per atom. Number 3: total energy -0.14243 Ha/atom, magnetic moment 0.000 μB per atom. Number 4: total energy -0.18172 Ha/atom, magnetic moment 0.000 μB per atom.